The following is a PBE calculation of an optimized crystal structure of Cs2As2PbS6, from Alexandria. Values from VASP.

Output
The total energy is -4.116 eV per atom. The value obtained for the energy relative to the elements, uncorrected is -0.53 eV per atom.

```
&SYSTEM
  ibrav = 0, nat = 11, ntyp = 4
/
ATOMIC_SPECIES
Cs 132.91 Cs.upf
As 74.92 As.upf
Pb 207.20 Pb.upf
S 32.06 S.upf
ATOMIC_POSITIONS crystal
Cs 0.7269 0.4539 0.1829
Cs 0.2731 0.5461 0.8171
As 0.9423 0.8846 0.8257
As 0.0577 0.1154 0.1743
Pb 0.5000 0.0000 0.5000
S 0.7551 0.5102 0.7656
S 0.2437 0.9853 0.2320
S 0.2584 0.0147 0.7680
S 0.7563 0.0147 0.7680
S 0.7416 0.9853 0.2320
S 0.2449 0.4898 0.2344
CELL_PARAMETERS angstrom
-1.1878 4.4883 -5.7217
-4.4065 -5.8001 1.1094
-1.2354 6.6502 5.4730
```

The following is a PBE calculation of an optimized crystal structure of MgMnNi2, from Alexandria. Values from VASP.

Output
As for the calculated formation energy: 33 meV per atom. The total energy is -5.549 eV per atom.

```
&SYSTEM
  ibrav = 0, nat = 4, ntyp = 3
/
ATOMIC_SPECIES
Mg 24.30 Mg.upf
Mn 54.94 Mn.upf
Ni 58.69 Ni.upf
ATOMIC_POSITIONS crystal
Mg 0.0000 0.0000 0.4788
Mn 0.5000 0.5000 0.7876
Ni 0.0000 0.0000 0.9872
Ni 0.5000 0.5000 0.2463
CELL_PARAMETERS angstrom
-2.1149 0.6315 -1.6215
1.2778 -2.2924 -2.5594
-2.8230 -3.9618 2.1391
```

The following is a PBE calculation of an optimized crystal structure of BaVCl5, from Alexandria. Values from VASP.

Output
The total energy is -4.616 eV per atom. The value obtained for the energy relative to the elements, uncorrected is -1.72 eV per atom.

```
&SYSTEM
  ibrav = 0, nat = 14, ntyp = 3
/
ATOMIC_SPECIES
Ba 137.33 Ba.upf
V 50.94 V.upf
Cl 35.45 Cl.upf
ATOMIC_POSITIONS crystal
Ba 0.7602 0.5102 0.2500
Ba 0.2398 0.4898 0.7500
V 0.0000 0.0000 0.0000
V 0.5000 0.0000 0.5000
Cl 0.7096 0.8849 0.0829
Cl 0.1676 0.8727 0.5452
Cl 0.6980 0.3733 0.5829
Cl 0.2995 0.0495 0.2500
Cl 0.8274 0.6223 0.9548
Cl 0.1726 0.3777 0.0452
Cl 0.7005 0.9505 0.7500
Cl 0.3020 0.6267 0.4171
Cl 0.8324 0.1273 0.4548
Cl 0.2904 0.1151 0.9171
CELL_PARAMETERS angstrom
7.2130 -1.1201 -2.3670
-3.7789 6.6730 0.2764
-1.6399 0.5794 10.0855
```

The following is a PBE calculation of an optimized crystal structure of BaSr2Be, from Alexandria. Values from VASP.

Output
As for the calculated formation energy: 361 meV per atom. The total energy is -1.892 eV per atom.

```
&SYSTEM
  ibrav = 0, nat = 4, ntyp = 3
/
ATOMIC_SPECIES
Sr 87.62 Sr.upf
Ba 137.33 Ba.upf
Be 9.01 Be.upf
ATOMIC_POSITIONS crystal
Sr 0.0547 0.0547 0.0547
Sr 0.2785 0.2785 0.2785
Ba 0.5002 0.5002 0.5002
Be 0.6666 0.6666 0.6666
CELL_PARAMETERS angstrom
11.3566 0.0394 0.0234
10.4783 4.3794 0.0234
10.4783 2.1205 3.8318
```

The following is a PBE calculation of an optimized crystal structure of PuPdO4, from Alexandria. Values from VASP.

Output
The total energy is -8.314 eV per atom. The value obtained for the energy relative to the elements, uncorrected is -1.75 eV per atom.

```
&SYSTEM
  ibrav = 0, nat = 12, ntyp = 3
/
ATOMIC_SPECIES
Pu 244.00 Pu.upf
Pd 106.42 Pd.upf
O 16.00 O.upf
ATOMIC_POSITIONS crystal
Pu 0.5000 0.5000 0.5000
Pu 0.0000 0.0000 0.0000
Pd 0.0000 0.0000 0.5000
Pd 0.5000 0.5000 0.0000
O 0.6854 0.6902 0.8426
O 0.8146 0.1902 0.3426
O 0.3269 0.3239 0.6579
O 0.8269 0.1761 0.8422
O 0.1731 0.8239 0.1578
O 0.6731 0.6761 0.3422
O 0.1854 0.8098 0.6574
O 0.3146 0.3098 0.1574
CELL_PARAMETERS angstrom
-3.0369 3.9206 -1.7537
-1.0686 -3.0638 -4.9991
-3.7816 -0.7599 4.8499
```

The following is a PBE calculation of an optimized crystal structure of Pr3PtSCl, from Alexandria. Values from VASP.

Output
The total energy is -5.683 eV per atom. The value obtained for the energy relative to the elements, uncorrected is -1.29 eV per atom.

```
&SYSTEM
  ibrav = 0, nat = 12, ntyp = 4
/
ATOMIC_SPECIES
Pr 140.91 Pr.upf
Pt 195.08 Pt.upf
S 32.06 S.upf
Cl 35.45 Cl.upf
ATOMIC_POSITIONS crystal
Pr 0.7500 0.9025 0.1104
Pr 0.2500 0.0975 0.8896
Pr 0.2500 0.7250 0.5000
Pr 0.7500 0.2750 0.5000
Pr 0.7500 0.4250 0.1622
Pr 0.2500 0.5750 0.8378
Pt 0.2500 0.6666 0.1556
Pt 0.7500 0.3334 0.8444
S 0.2500 0.1840 0.2319
S 0.7500 0.8160 0.7681
Cl 0.2500 0.0954 0.6003
Cl 0.7500 0.9046 0.3997
CELL_PARAMETERS angstrom
-2.8827 -2.6527 1.2147
6.0149 -5.0934 3.1510
-2.1380 5.6936 7.3600
```